A plane-wave DFT calculation with meta-GGA SCAN was carried out for a PBEsol-optimized structure of CoIrPt2.

Calculated density in g cm⁻³: 19.34
Calculated formation energy in eV per atom: 0.0081
M_tot in μB per atom: 0.610
Electronic total energy in Ry/atom: -4.2033
Energy above the lowest structure with this stoichiometry in meV/atom: 97

abc: 2.6984 2.6984 26.1914
angles: 90.00 90.00 120.00
Space group R3m (No. 160, hexagonal axes)
One atom of each set of equivalent atoms:
Co 0.0000 0.0000 0.0000 x3
Ir 0.0000 0.0000 0.2577 x3
Pt 0.0000 0.0000 0.5032 x3
Pt 0.0000 0.0000 0.7461 x3

***

A plane-wave DFT calculation with meta-GGA SCAN was carried out for a PBEsol-optimized structure of BaLi2Mg.

Calculated density in g cm⁻³: 2.38
Calculated formation energy in eV per atom: 0.1737
M_tot in μB per atom: 0.018
Electronic total energy in Ry/atom: -0.8932

abc: 6.9342 10.9403 3.5627
angles: 90.00 114.98 90.00
Space group C2/m (No. 12)
One atom of each set of equivalent atoms:
Ba 0.0000 0.0000 0.0000 x2
Li 0.2500 0.2500 0.5000 x4
Mg 0.0000 0.5000 0.0000 x2

***

A plane-wave DFT calculation with meta-GGA SCAN was carried out for a PBEsol-optimized structure of Zn3Fe2.

Calculated density in g cm⁻³: 8.29
Calculated formation energy in eV per atom: 0.0285
M_tot in μB per atom: 0.988
Electronic total energy in Ry/atom: -1.1269

abc: 2.5852 2.5852 31.9503
angles: 90.00 90.00 120.00
Space group R-3m (No. 166, hexagonal axes)
One atom of each set of equivalent atoms:
Zn 0.0000 0.0000 0.0000 x3
Zn 0.0000 0.0000 0.2027 x6
Fe 0.0000 0.0000 0.3989 x6

***

A plane-wave DFT calculation with meta-GGA SCAN was carried out for a PBEsol-optimized structure of IrOsRu2.

Calculated density in g cm⁻³: 17.20
Calculated formation energy in eV per atom: 0.4906
M_tot in μB per atom: 0.682
Electronic total energy in Ry/atom: -3.8710
Energy above the lowest structure with this stoichiometry in meV/atom: 466

abc: 3.2392 3.2392 5.3789
angles: 90.00 90.00 90.00
Space group P4/mmm (No. 123)
One atom of each set of equivalent atoms:
Ir 0.0000 0.0000 0.0000 x1
Os 0.0000 0.0000 0.5000 x1
Ru 0.5000 0.5000 0.2481 x2

***

A plane-wave DFT calculation with meta-GGA SCAN was carried out for a PBEsol-optimized structure of Ba5Mg.

Calculated density in g cm⁻³: 3.75
Calculated formation energy in eV per atom: 0.0054
M_tot in μB per atom: 0.122
Electronic total energy in Ry/atom: -2.4829
Energy above the lowest structure with this stoichiometry in meV/atom: 0

abc: 4.3462 4.3462 16.6817
angles: 90.00 90.00 90.00
Space group P4/mmm (No. 123)
One atom of each set of equivalent atoms:
Ba 0.0000 0.0000 0.0000 x1
Ba 0.0000 0.0000 0.3782 x2
Ba 0.5000 0.5000 0.1875 x2
Mg 0.5000 0.5000 0.5000 x1

***

A plane-wave DFT calculation with meta-GGA SCAN was carried out for a PBEsol-optimized structure of Mg2HgP.

Calculated density in g cm⁻³: 5.68
Calculated formation energy in eV per atom: -0.3460
M_tot in μB per atom: 0.000
Electronic total energy in Ry/atom: -1.6518

abc: 3.3647 3.9188 12.4185
angles: 90.00 90.00 90.00
Space group Imm2 (No. 44)
One atom of each set of equivalent atoms:
Mg 0.0000 0.0000 0.0000 x2
Mg 0.0000 0.5000 0.2121 x2
Hg 0.0000 0.5000 0.8206 x2
P 0.0000 0.0000 0.5474 x2

***

A plane-wave DFT calculation with meta-GGA SCAN was carried out for a PBEsol-optimized structure of Ba2HfO4.

Calculated density in g cm⁻³: 7.45
M_tot in μB per atom: 0.000
Electronic total energy in Ry/atom: -2.0029
ΔE_f (raw) in eV/atom: -3.4371

abc: 4.1439 4.1439 13.4335
angles: 90.00 90.00 90.00
Space group I4/mmm (No. 139)
One atom of each set of equivalent atoms:
Ba 0.0000 0.0000 0.1472 x4
Hf 0.0000 0.0000 0.5000 x2
O 0.0000 0.0000 0.3443 x4
O 0.0000 0.5000 0.0000 x4

***

A plane-wave DFT calculation with meta-GGA SCAN was carried out for a PBEsol-optimized structure of SrCoCl2.

Calculated density in g cm⁻³: 4.28
M_tot in μB per atom: 0.250
Electronic total energy in Ry/atom: -1.0920
Energy above the lowest structure with this stoichiometry in meV/atom: 137
ΔE_f (raw) in eV/atom: -0.9731

abc: 4.7682 3.7370 4.7792
angles: 90.00 97.47 90.00
Space group P2/m (No. 10)
One atom of each set of equivalent atoms:
Sr 0.0000 0.0000 0.0000 x1
Co 0.5000 0.0000 0.5000 x1
Cl 0.3009 0.5000 0.6992 x2